[1]
{"formula": "Sc2SbP", "functional": "GGA-PBEsol", "state": "optimized geometry", "raw_formation_energy_ev_per_atom": -1.231, "magmom_total_mub_per_fu": 0.00, "final_energy_ev_per_atom": -7.12, "sg": "R-3m", "dos_at_fermi_per_ev_atom": 0.2858, "cell": [[-0.110, -3.187, 2.141], [3.269, -1.723, 1.048], [1.233, 2.026, 6.524]], "species": ["Sc", "Sc", "Sb", "P"], "fractional_positions": [[0.739, 0.739, 0.782], [0.261, 0.261, 0.218], [0.500, 0.500, 0.500], [0.000, 0.000, 0.000]]}

[2]
{"formula": "Be2CdGe", "functional": "GGA-PBEsol", "state": "optimized geometry", "magmom_total_mub_per_fu": 0.00, "final_energy_ev_per_atom": -3.07, "delta_e_f_ev_per_atom": 0.467, "sg": "I-42d", "dos_at_fermi_per_ev_atom": 0.3399, "cell": [[4.127, 0.000, 0.000], [0.000, 4.127, 0.000], [-2.063, -2.063, 7.468]], "species": ["Ge", "Be", "Be", "Cd", "Cd", "Be", "Ge", "Be"], "fractional_positions": [[0.750, 0.250, 0.500], [0.125, 0.255, 0.750], [0.745, 0.375, 0.250], [0.250, 0.750, 0.500], [0.000, 0.000, 0.000], [0.625, 0.495, 0.750], [0.500, 0.500, 0.000], [0.505, 0.875, 0.250]]}

[3]
{"formula": "Ir2RuPt", "functional": "GGA-PBEsol", "state": "optimized geometry", "magmom_total_mub_per_fu": 0.00, "final_energy_ev_per_atom": -9.16, "delta_e_f_ev_per_atom": 0.031, "sg": "I-4m2", "dos_at_fermi_per_ev_atom": 1.0325, "cell": [[3.822, 0.000, 0.000], [0.000, 3.822, 0.000], [-1.911, -1.911, 3.848]], "species": ["Ir", "Ir", "Pt", "Ru"], "fractional_positions": [[0.750, 0.250, 0.500], [0.500, 0.500, 0.000], [0.000, 0.000, 0.000], [0.250, 0.750, 0.500]]}

[4]
{"formula": "SrRe2Pt", "functional": "GGA-PBEsol", "state": "optimized geometry", "magmom_total_mub_per_fu": 0.00, "final_energy_ev_per_atom": -7.91, "delta_e_f_ev_per_atom": 0.957, "sg": "I4/mmm", "dos_at_fermi_per_ev_atom": 1.1385, "cell": [[-1.212, 1.213, 3.497], [-3.525, -1.500, -0.702], [3.732, -3.946, 0.494]], "species": ["Re", "Sr", "Pt", "Re"], "fractional_positions": [[0.250, 0.750, 0.500], [0.500, 0.500, 0.000], [0.000, 0.000, 0.000], [0.750, 0.250, 0.500]]}

[5]
{"formula": "WCF2", "functional": "GGA-PBEsol", "state": "optimized geometry", "raw_formation_energy_ev_per_atom": 0.759, "magmom_total_mub_per_fu": 0.00, "final_energy_ev_per_atom": -6.07, "sg": "Fm-3m", "dos_at_fermi_per_ev_atom": 0.2953, "cell": [[3.747, 0.000, 0.000], [1.874, 3.245, 0.000], [1.874, 1.082, 3.060]], "species": ["F", "W", "C", "F"], "fractional_positions": [[0.750, 0.750, 0.750], [0.500, 0.500, 0.500], [0.000, 0.000, 0.000], [0.250, 0.250, 0.250]]}

[6]
{"formula": "BaSrP", "functional": "GGA-PBEsol", "state": "optimized geometry", "magmom_total_mub_per_fu": 0.00, "final_energy_ev_per_atom": -4.06, "delta_e_f_ev_per_atom": -0.804, "sg": "F-43m", "dos_at_fermi_per_ev_atom": 0.5353, "cell": [[-0.947, -1.952, -4.776], [3.669, -2.842, -2.446], [-0.674, -5.164, -0.637]], "species": ["P", "Sr", "Ba"], "fractional_positions": [[0.250, 0.250, 0.250], [0.000, 0.000, 0.000], [0.500, 0.500, 0.500]]}